No. 1
K6Ta11O30: single point on PBEsol structure, SCAN.

Lattice parameters (Å, degrees): 3.9270 12.7437 12.7437 89.38 90.00 90.00
Last column: nearest neighbours and their distance in Å.
Sites, in units of the cell vectors:
1 K 0.0000 0.0000 0.0000  7 O 2.82-3.07
2 K 0.0000 0.1675 0.6571  11 O 2.70-2.87
3 K 0.0000 0.3266 0.3266  7 O 2.90-3.02
4 K 0.0000 0.4547 0.8161  7 O 2.76-3.00
5 K 0.0000 0.6571 0.1675  11 O 2.70-2.87
6 K 0.0000 0.8161 0.4547  7 O 2.76-3.00
7 Ta 0.0000 0.7732 0.7732  3 O 2.00-2.01
8 Ta 0.5000 0.0855 0.4423  5 O 1.87-2.04
9 Ta 0.5000 0.1564 0.1564  6 O 1.95-2.02
10 Ta 0.5000 0.2408 0.8729  6 O 1.94-2.13
11 Ta 0.5000 0.3628 0.5791  6 O 1.92-2.09
12 Ta 0.5000 0.4423 0.0855  5 O 1.87-2.04
13 Ta 0.5000 0.5791 0.3628  6 O 1.92-2.09
14 Ta 0.5000 0.6446 0.6446  4 O 1.83-1.99
15 Ta 0.5000 0.7328 0.9634  4 O 1.84-2.02
16 Ta 0.5000 0.8729 0.2408  6 O 1.94-2.14
17 Ta 0.5000 0.9634 0.7328  4 O 1.84-2.02
18 O 0.0000 0.0785 0.4593  2 Ta 1.98
19 O 0.0000 0.1602 0.1602  2 Ta 1.96
20 O 0.0000 0.2336 0.8631  2 Ta 1.97
21 O 0.0000 0.3678 0.5853  2 Ta 1.97
22 O 0.0000 0.4593 0.0785  2 Ta 1.98
23 O 0.0000 0.5853 0.3678  2 Ta 1.97
24 O 0.0000 0.6623 0.6623  3 Ta 1.99-2.01
25 O 0.0000 0.7394 0.9272  3 Ta 2.00-2.02
26 O 0.0000 0.8631 0.2336  2 Ta 1.97
27 O 0.0000 0.9272 0.7394  3 Ta 2.00-2.02
28 O 0.5000 0.0034 0.1587  2 Ta 1.95
29 O 0.5000 0.0167 0.5968  1 Ta 1.85
30 O 0.5000 0.0896 0.8024  1 Ta 1.84
31 O 0.5000 0.1587 0.0034  2 Ta 1.95
32 O 0.5000 0.1599 0.3148  2 Ta 1.87-2.02
33 O 0.5000 0.2265 0.5170  2 Ta 1.92-2.04
34 O 0.5000 0.3016 0.7278  2 Ta 2.00-2.04
35 O 0.5000 0.3148 0.1599  2 Ta 1.87-2.02
36 O 0.5000 0.3737 0.9454  2 Ta 1.94-2.00
37 O 0.5000 0.4484 0.4484  2 Ta 1.98
38 O 0.5000 0.5021 0.6648  1 Ta 1.83
39 O 0.5000 0.5170 0.2265  2 Ta 1.92-2.04
40 O 0.5000 0.5968 0.0167  1 Ta 1.85
41 O 0.5000 0.6648 0.5021  1 Ta 1.83
42 O 0.5000 0.6753 0.8096  2 Ta 2.10-2.14
43 O 0.5000 0.7278 0.3016  2 Ta 2.00-2.04
44 O 0.5000 0.8024 0.0896  1 Ta 1.84
45 O 0.5000 0.8096 0.6753  2 Ta 2.10-2.14
46 O 0.5000 0.8697 0.8697  2 Ta 2.10
47 O 0.5000 0.9454 0.3737  2 Ta 1.94-2.00

size of the total moment: 1.01 μB/f.u.
E_tot: -23.51 eV per atom
E_form (uncorrected): -2.88 eV/atom

***

No. 2
K9Ta10O30: single point on PBEsol structure, SCAN.

Lattice parameters (Å, degrees): 8.9086 8.9088 8.9089 113.58 101.54 90.00
Last column: nearest neighbours and their distance in Å.
Sites, in units of the cell vectors:
1 K 0.0000 0.0000 0.0000  12 O 2.79-2.82
2 K 0.1011 0.2001 0.5001  12 O 2.80-2.82
3 K 0.1993 0.3995 0.0001  12 O 2.79-2.82
4 K 0.3000 0.6011 0.5002  12 O 2.80-2.82
5 K 0.4001 0.7997 0.0008  12 O 2.80-2.82
6 K 0.5999 0.2003 0.9992  12 O 2.80-2.82
7 K 0.7000 0.3989 0.4998  12 O 2.80-2.82
8 K 0.8007 0.6005 0.9999  12 O 2.79-2.82
9 K 0.8989 0.7999 0.4999  12 O 2.80-2.82
10 Ta 0.0501 0.6004 0.7510  6 O 1.99-2.00
11 Ta 0.1529 0.8028 0.2532  6 O 1.97-2.01
12 Ta 0.2518 0.0012 0.7493  6 O 1.97-2.01
13 Ta 0.3520 0.1987 0.2521  6 O 1.97-2.01
14 Ta 0.4511 0.3973 0.7485  6 O 1.97-2.01
15 Ta 0.5489 0.6027 0.2515  6 O 1.97-2.01
16 Ta 0.6480 0.8013 0.7479  6 O 1.97-2.01
17 Ta 0.7482 0.9988 0.2507  6 O 1.97-2.01
18 Ta 0.8471 0.1972 0.7468  6 O 1.97-2.01
19 Ta 0.9499 0.3996 0.2490  6 O 1.99-2.00
20 O 0.0000 0.5000 0.5000  2 Ta 2.00
21 O 0.0499 0.1000 0.7502  2 Ta 2.00
22 O 0.0498 0.6003 0.2500  2 Ta 1.99-2.01
23 O 0.0999 0.7001 0.0004  2 Ta 1.99-2.01
24 O 0.1503 0.3002 0.2500  2 Ta 1.99-2.01
25 O 0.1499 0.8003 0.7503  2 Ta 1.99-2.01
26 O 0.1969 0.8992 0.5003  2 Ta 1.97-1.98
27 O 0.2476 0.0002 0.2476  2 Ta 1.97-1.98
28 O 0.2503 0.5003 0.7502  2 Ta 1.99-2.01
29 O 0.2997 0.1001 0.0001  2 Ta 2.00-2.01
30 O 0.3483 0.6970 0.2476  2 Ta 1.97-1.98
31 O 0.3486 0.2022 0.7525  2 Ta 1.97-1.98
32 O 0.3991 0.3032 0.5001  2 Ta 1.98
33 O 0.4493 0.8991 0.7527  2 Ta 1.97-1.98
34 O 0.4500 0.3998 0.2496  2 Ta 2.00
35 O 0.5000 0.5000 0.0000  2 Ta 2.00
36 O 0.5500 0.6002 0.7504  2 Ta 2.00
37 O 0.5507 0.1009 0.2473  2 Ta 1.97-1.98
38 O 0.6009 0.6968 0.4999  2 Ta 1.98
39 O 0.6514 0.7978 0.2475  2 Ta 1.97-1.98
40 O 0.6517 0.3030 0.7524  2 Ta 1.97-1.98
41 O 0.7003 0.8999 0.9999  2 Ta 2.00-2.01
42 O 0.7497 0.4997 0.2498  2 Ta 1.99-2.01
43 O 0.7524 0.9998 0.7524  2 Ta 1.97-1.98
44 O 0.8031 0.1008 0.4997  2 Ta 1.97-1.98
45 O 0.8501 0.1997 0.2497  2 Ta 1.99-2.01
46 O 0.8497 0.6998 0.7500  2 Ta 1.99-2.01
47 O 0.9001 0.2999 0.9996  2 Ta 1.99-2.01
48 O 0.9502 0.3997 0.7500  2 Ta 1.99-2.01
49 O 0.9501 0.9000 0.2498  2 Ta 2.00

size of the total moment: 0.00 μB/f.u.
E_tot: -21.79 eV per atom
E_form (uncorrected): -2.86 eV/atom

***

No. 3
KTaWO6: single point on PBEsol structure, SCAN.

Lattice parameters (Å, degrees): 7.3360 7.3360 7.3360 119.83 91.31 118.67
Last column: nearest neighbours and their distance in Å.
Sites, in units of the cell vectors:
1 K 0.1749 0.2500 0.4249  4 O 2.74-2.88
2 K 0.8251 0.7500 0.5751  4 O 2.74-2.88
3 Ta 0.6322 0.1322 0.5000  6 O 1.96-2.00
4 Ta 0.6322 0.6322 0.0000  6 O 1.96-2.00
5 W 0.1144 0.6076 0.0067  5 O 1.80-1.91
6 W 0.6009 0.1076 0.9933  5 O 1.80-1.91
7 O 0.3172 0.8807 0.9365  1 W 1.80
8 O 0.3221 0.5187 0.9398  1 W 1.91, 1 Ta 1.96
9 O 0.3221 0.8824 0.3034  1 W 1.91, 1 Ta 1.96
10 O 0.5754 0.3935 0.6818  2 Ta 1.97
11 O 0.5790 0.0187 0.6966  1 W 1.91, 1 Ta 1.96
12 O 0.5790 0.3824 0.0602  1 W 1.91, 1 Ta 1.96
13 O 0.6935 0.2537 0.3035  1 W 1.90, 1 Ta 2.00
14 O 0.6935 0.8899 0.9398  1 W 1.90, 1 Ta 2.00
15 O 0.7117 0.8935 0.3182  2 Ta 1.97
16 O 0.9443 0.3807 0.0635  1 W 1.80
17 O 0.9502 0.3899 0.6965  1 W 1.90, 1 Ta 2.00
18 O 0.9502 0.7537 0.0602  1 W 1.90, 1 Ta 2.00

size of the total moment: 0.00 μB/f.u.
E_tot: -22.86 eV per atom
E_form (uncorrected): -2.64 eV/atom

***

No. 4
KYTa2O7: single point on PBEsol structure, SCAN.

Lattice parameters (Å, degrees): 7.4576 7.4576 7.4576 121.03 119.92 89.18
Last column: nearest neighbours and their distance in Å.
Sites, in units of the cell vectors:
1 K 0.5000 0.0000 0.0000  8 O 2.50-2.74
2 K 0.5000 0.5000 0.5000  8 O 2.50-2.74
3 Y 0.0000 0.0000 0.0000  2 O 2.10
4 Y 0.5000 0.0000 0.5000  2 O 2.10
5 Ta 0.0000 0.0000 0.5000  6 O 1.97-1.99
6 Ta 0.0000 0.5000 0.0000  6 O 1.97-1.99
7 Ta 0.0000 0.5000 0.5000  6 O 1.97-2.00
8 Ta 0.5000 0.5000 0.0000  6 O 1.97-2.00
9 O 0.0575 0.4235 0.2385  2 Ta 1.99-2.00
10 O 0.0575 0.8190 0.6340  2 Ta 1.99-2.00
11 O 0.0662 0.8162 0.2500  2 Ta 1.97
12 O 0.3081 0.5581 0.7500  2 Ta 1.97
13 O 0.3150 0.1810 0.7385  2 Ta 1.99-2.00
14 O 0.3150 0.5765 0.1340  2 Ta 1.99-2.00
15 O 0.3400 0.0900 0.2500  2 Y 2.10
16 O 0.6600 0.9100 0.7500  2 Y 2.10
17 O 0.6850 0.4235 0.8660  2 Ta 1.99-2.00
18 O 0.6850 0.8190 0.2615  2 Ta 1.99-2.00
19 O 0.6919 0.4419 0.2500  2 Ta 1.97
20 O 0.9338 0.1838 0.7500  2 Ta 1.97
21 O 0.9425 0.1810 0.3660  2 Ta 1.99-2.00
22 O 0.9425 0.5765 0.7615  2 Ta 1.99-2.00

size of the total moment: 0.00 μB/f.u.
E_tot: -22.52 eV per atom
E_form (uncorrected): -3.16 eV/atom

***

No. 5
KTbW2O8: single point on PBEsol structure, SCAN.

Lattice parameters (Å, degrees): 7.4508 7.4508 7.4724 117.75 117.75 88.80
Last column: nearest neighbours and their distance in Å.
Sites, in units of the cell vectors:
1 K 0.2043 0.7957 0.7500  10 O 2.81-3.12
2 K 0.7957 0.2043 0.2500  10 O 2.81-3.12
3 Tb 0.2284 0.7716 0.2500  6 O 2.27-2.32
4 Tb 0.7716 0.2284 0.7500  6 O 2.27-2.32
5 W 0.3013 0.3045 0.2666  4 O 1.80-1.96
6 W 0.3045 0.3013 0.7666  4 O 1.80-1.96
7 W 0.6955 0.6987 0.2334  4 O 1.80-1.96
8 W 0.6987 0.6955 0.7334  4 O 1.80-1.96
9 O 0.0419 0.2084 0.6851  1 W 1.80
10 O 0.0655 0.3836 0.1252  1 W 1.83
11 O 0.2084 0.0419 0.1851  1 W 1.80
12 O 0.2368 0.3797 0.5516  1 W 1.81
13 O 0.3686 0.5864 0.0276  2 W 1.96-2.10
14 O 0.3797 0.2368 0.0516  1 W 1.81
15 O 0.3836 0.0655 0.6252  1 W 1.83
16 O 0.4136 0.6314 0.4724  2 W 1.96-2.10
17 O 0.5864 0.3686 0.5276  2 W 1.96-2.10
18 O 0.6164 0.9345 0.3748  1 W 1.83
19 O 0.6203 0.7632 0.9484  1 W 1.81
20 O 0.6314 0.4136 0.9724  2 W 1.96-2.10
21 O 0.7632 0.6203 0.4484  1 W 1.81
22 O 0.7916 0.9581 0.8149  1 W 1.80
23 O 0.9345 0.6164 0.8748  1 W 1.83
24 O 0.9581 0.7916 0.3149  1 W 1.80

size of the total moment: 0.00 μB/f.u.
E_tot: -23.10 eV per atom
E_form (uncorrected): -2.74 eV/atom

***

No. 6
K2Te2O5: single point on PBEsol structure, SCAN.

Lattice parameters (Å, degrees): 7.7162 15.0838 5.4618 90.00 93.58 90.00
Last column: nearest neighbours and their distance in Å.
Sites, in units of the cell vectors:
1 K 0.1188 0.0685 0.2334  7 O 2.70-2.96
2 K 0.1188 0.4315 0.7334  7 O 2.70-2.96
3 K 0.3713 0.1814 0.7603  5 O 2.66-2.85
4 K 0.3713 0.3186 0.2603  5 O 2.66-2.85
5 K 0.6287 0.6814 0.7397  5 O 2.66-2.85
6 K 0.6287 0.8186 0.2397  5 O 2.66-2.85
7 K 0.8812 0.5685 0.2666  7 O 2.70-2.96
8 K 0.8812 0.9315 0.7666  7 O 2.70-2.96
9 Te 0.0931 0.6833 0.7987  2 O 1.86-1.95
10 Te 0.0931 0.8167 0.2987  2 O 1.86-1.95
11 Te 0.3888 0.5619 0.2523  3 O 1.87-1.94
12 Te 0.3888 0.9381 0.7523  3 O 1.87-1.94
13 Te 0.6112 0.0619 0.2477  3 O 1.87-1.94
14 Te 0.6112 0.4381 0.7477  3 O 1.87-1.94
15 Te 0.9069 0.1833 0.7013  2 O 1.86-1.95
16 Te 0.9069 0.3167 0.2013  2 O 1.86-1.95
17 O 0.0486 0.2431 0.0003  2 Te 1.95-2.11
18 O 0.0486 0.2569 0.5003  2 Te 1.95-2.11
19 O 0.0606 0.0887 0.7298  1 Te 1.86
20 O 0.0606 0.4113 0.2298  1 Te 1.86
21 O 0.1947 0.6400 0.1669  1 Te 1.94
22 O 0.1947 0.8600 0.6669  1 Te 1.94
23 O 0.3631 0.5610 0.5930  1 Te 1.88
24 O 0.3631 0.9390 0.0930  1 Te 1.88
25 O 0.4347 0.1455 0.2700  1 Te 1.87
26 O 0.4347 0.3545 0.7700  1 Te 1.87
27 O 0.5653 0.6455 0.2300  1 Te 1.87
28 O 0.5653 0.8545 0.7300  1 Te 1.87
29 O 0.6369 0.0610 0.9070  1 Te 1.88
30 O 0.6369 0.4390 0.4070  1 Te 1.88
31 O 0.8053 0.1400 0.3331  1 Te 1.94
32 O 0.8053 0.3600 0.8331  1 Te 1.94
33 O 0.9394 0.5887 0.7702  1 Te 1.86
34 O 0.9394 0.9113 0.2702  1 Te 1.86
35 O 0.9514 0.7431 0.4997  2 Te 1.95-2.11
36 O 0.9514 0.7569 0.9997  2 Te 1.95-2.11

size of the total moment: 0.00 μB/f.u.
E_tot: -15.11 eV per atom
E_form (uncorrected): -1.52 eV/atom